(1)
VASP calculation (PBE) on crystalline InHg3Pb6 at its relaxed geometry.

The structure in POSCAR format:
```
InHg3Pb6
1.0
5.267 0.000 0.000
0.000 11.097 -2.560
0.000 -6.439 11.889
Hg Pb In
6 12 2
direct
0.250 0.480 0.165
0.750 0.286 0.174
0.750 0.668 0.470
0.250 0.332 0.530
0.750 0.520 0.835
0.250 0.714 0.826
0.250 0.257 0.738
0.250 0.113 0.890
0.250 0.629 0.027
0.750 0.524 0.605
0.750 0.887 0.110
0.250 0.085 0.130
0.750 0.371 0.973
0.750 0.150 0.526
0.250 0.476 0.395
0.750 0.743 0.262
0.750 0.915 0.870
0.250 0.850 0.474
0.250 0.980 0.312
0.750 0.020 0.688
```

* total energy: -50.787 eV per cell
* magnetization: 0.0 μB per cell
* offset from the most stable computed form: 0.021 eV/atom


(2)
VASP calculation (PBE) on crystalline TaSnAs2Br at its relaxed geometry.

The structure in POSCAR format:
```
TaSnAs2Br
1.0
-0.702 -1.820 4.669
-0.944 -4.582 -1.928
5.007 -1.158 0.302
Ta As Br Sn
1 2 1 1
direct
0.000 0.000 0.000
0.500 0.000 0.000
0.000 0.500 0.000
0.000 0.000 0.500
0.500 0.500 0.500
```

* total energy: -25.967 eV per cell
* formation energy without anion corrections: 0.17 eV/atom
* magnetization: 0.0 μB per cell
* offset from the most stable computed form: 0.000 eV/atom


(3)
VASP calculation (PBE) on crystalline SrZr4Cd at its relaxed geometry.

The structure in POSCAR format:
```
SrZr4Cd
1.0
-5.943 -0.469 -1.113
-4.010 1.183 4.393
-3.433 4.990 -0.292
Zr Cd Sr
4 1 1
direct
0.374 0.374 0.877
0.374 0.877 0.374
0.374 0.374 0.374
0.877 0.374 0.374
0.750 0.750 0.750
0.000 0.000 0.000
```

* total energy: -34.568 eV per cell
* magnetization: 0.0 μB per cell


(4)
VASP calculation (PBE) on crystalline LaPuSe2 at its relaxed geometry.

The structure in POSCAR format:
```
LaPuSe2
1.0
-1.527 1.790 2.783
1.253 -3.899 3.195
4.547 2.296 1.018
Pu La Se
1 1 2
direct
0.500 0.500 0.500
0.500 0.000 0.000
0.000 0.500 0.000
0.000 0.000 0.500
```

* total energy: -32.286 eV per cell
* formation energy without anion corrections: -1.51 eV/atom
* magnetization: 6.6 μB per cell
* offset from the most stable computed form: 0.253 eV/atom


(5)
VASP calculation (PBE) on crystalline HoErSbS at its relaxed geometry.

The structure in POSCAR format:
```
HoErSbS
1.0
4.050 0.000 -0.001
-2.024 3.507 0.000
-2.025 -1.169 7.039
Er Sb S Ho
1 1 1 1
direct
0.951 0.374 0.340
0.471 0.133 0.619
0.131 0.964 0.111
0.324 0.560 0.899
```

* total energy: -23.104 eV per cell
* formation energy without anion corrections: -1.43 eV/atom
* magnetization: 0.0 μB per cell


(6)
VASP calculation (PBE) on crystalline Hf4MnN5 at its relaxed geometry.

The structure in POSCAR format:
```
Hf4MnN5
1.0
4.043 0.000 1.950
2.022 5.065 0.975
-0.179 0.000 5.537
Hf N Mn
4 5 1
direct
0.395 0.403 0.808
0.204 0.192 0.403
0.607 0.597 0.192
0.798 0.808 0.597
0.694 0.206 0.407
0.101 0.593 0.206
0.501 0.000 0.000
0.308 0.794 0.593
0.901 0.407 0.794
0.001 0.000 0.000
```

* total energy: -105.347 eV per cell
* formation energy without anion corrections: -1.47 eV/atom
* magnetization: 4.2 μB per cell